Record 1
# PBE-GGA ZnCu3P, relaxed
data_ZnCu3P
_cell_length_a 4.415
_cell_length_b 4.415
_cell_length_c 4.415
_cell_angle_alpha 90.00
_cell_angle_beta 90.00
_cell_angle_gamma 90.00
_symmetry_space_group_name_H-M 'P m -3 m'
_symmetry_Int_Tables_number 221
_symmetry_space_group_name_Hall '-P 4 2 3'
loop_
_atom_site_label
_atom_site_type_symbol
_atom_site_fract_x
_atom_site_fract_y
_atom_site_fract_z
_atom_site_occupancy
Zn1 Zn 0.000 0.000 0.000 1
Cu1 Cu 0.000 0.000 0.500 1
P1 P 0.500 0.500 0.500 1
# relative energy among the computed polymorphs: 0.650 eV/atom
# calculated formation energy: 0.899 eV per atom

***

Record 2
# PBE-GGA Tm4CuBi, relaxed
data_Tm4CuBi
_cell_length_a 5.386
_cell_length_b 19.759
_cell_length_c 6.355
_cell_angle_alpha 90.00
_cell_angle_beta 90.00
_cell_angle_gamma 90.00
_symmetry_space_group_name_H-M 'C m c 21'
_symmetry_Int_Tables_number 36
loop_
_symmetry_equiv_pos_as_xyz
'x,y,z'
'-x,-y,z+1/2'
'-x,y,z'
'x,-y,z+1/2'
'x+1/2,y+1/2,z'
'-x+1/2,-y+1/2,z+1/2'
'-x+1/2,y+1/2,z'
'x+1/2,-y+1/2,z+1/2'
loop_
_atom_site_label
_atom_site_type_symbol
_atom_site_fract_x
_atom_site_fract_y
_atom_site_fract_z
_atom_site_occupancy
Tm1 Tm 0.000 0.049 0.000 1
Tm2 Tm 0.000 0.200 0.249 1
Tm3 Tm 0.000 0.200 0.749 1
Tm4 Tm 0.000 0.392 0.999 1
Cu1 Cu 0.000 0.085 0.498 1
Bi1 Bi 0.000 0.353 0.499 1
# relative energy among the computed polymorphs: 0.150 eV/atom
# calculated formation energy: -0.177 eV per atom

***

Record 3
# PBE-GGA LiLaThIr, relaxed
data_LiLaThIr
_cell_length_a 7.250
_cell_length_b 7.250
_cell_length_c 7.250
_cell_angle_alpha 90.00
_cell_angle_beta 90.00
_cell_angle_gamma 90.00
_symmetry_space_group_name_H-M 'F -4 3 m'
_symmetry_Int_Tables_number 216
_symmetry_space_group_name_Hall 'F -4 2 3'
loop_
_atom_site_label
_atom_site_type_symbol
_atom_site_fract_x
_atom_site_fract_y
_atom_site_fract_z
_atom_site_occupancy
Li1 Li 0.000 0.000 0.000 1
La1 La 0.250 0.250 0.750 1
Th1 Th 0.250 0.250 0.250 1
Ir1 Ir 0.000 0.000 0.500 1
# calculated formation energy: -0.316 eV per atom

***

Record 4
# PBE-GGA GaSb2TeI, relaxed
data_GaSb2TeI
_cell_length_a 5.500
_cell_length_b 5.500
_cell_length_c 5.293
_cell_angle_alpha 90.00
_cell_angle_beta 90.00
_cell_angle_gamma 90.00
_symmetry_space_group_name_H-M 'P 4/m m m'
_symmetry_Int_Tables_number 123
_symmetry_space_group_name_Hall '-P 4 2'
loop_
_atom_site_label
_atom_site_type_symbol
_atom_site_fract_x
_atom_site_fract_y
_atom_site_fract_z
_atom_site_occupancy
Ga1 Ga 0.000 0.000 0.000 1
Sb1 Sb 0.000 0.500 0.000 1
Te1 Te 0.500 0.500 0.500 1
I1 I 0.000 0.000 0.500 1
# relative energy among the computed polymorphs: 0.023 eV/atom
# formation energy without anion corrections: 0.472 eV/atom

***

Record 5
# PBE-GGA Ba2MgAuO, relaxed
data_Ba2MgAuO
_cell_length_a 5.710
_cell_length_b 5.710
_cell_length_c 4.173
_cell_angle_alpha 90.00
_cell_angle_beta 90.00
_cell_angle_gamma 90.00
_symmetry_space_group_name_H-M 'P 4/m m m'
_symmetry_Int_Tables_number 123
_symmetry_space_group_name_Hall '-P 4 2'
loop_
_atom_site_label
_atom_site_type_symbol
_atom_site_fract_x
_atom_site_fract_y
_atom_site_fract_z
_atom_site_occupancy
Ba1 Ba 0.000 0.500 0.000 1
Mg1 Mg 0.000 0.000 0.500 1
Au1 Au 0.500 0.500 0.500 1
O1 O 0.000 0.000 0.000 1
# formation energy without anion corrections: -1.151 eV/atom

***

Record 6
# PBE-GGA TcMo2Ir, relaxed
data_TcMo2Ir
_cell_length_a 3.894
_cell_length_b 3.894
_cell_length_c 8.018
_cell_angle_alpha 90.00
_cell_angle_beta 90.00
_cell_angle_gamma 90.00
_symmetry_space_group_name_H-M 'I -4 m 2'
_symmetry_Int_Tables_number 119
_symmetry_space_group_name_Hall 'I -4 -2'
loop_
_atom_site_label
_atom_site_type_symbol
_atom_site_fract_x
_atom_site_fract_y
_atom_site_fract_z
_atom_site_occupancy
Tc1 Tc 0.000 0.000 0.000 1
Mo1 Mo 0.000 0.000 0.500 1
Mo2 Mo 0.000 0.500 0.250 1
Ir1 Ir 0.000 0.500 0.750 1
# relative energy among the computed polymorphs: 0.047 eV/atom
# calculated formation energy: -0.039 eV per atom

***

Going through the records in order, we get density values of 5.540; 9.313; 9.938; 5.888; 6.248; 13.172 g cm⁻³.
Going through the records in order, we get total DFT energy (no corrections) values of -14.476; -107.692; -97.540; -13.606; -19.433; -82.091 eV per cell.